# 1
Below is crystalline Bi3Sb2I2 at its relaxed geometry, with properties calculated at the PBE-GGA level.

Calculated values
symmetry: No. 12
raw formation energy: -58 meV per atom
N(E_F): 0.412 states/eV per atom
density: 6.89 g/cm³

a b c (Å): 4.4070 7.0795 9.1356
angles (deg): 101.15 103.96 90.00
Closest atoms and distances in Å follow each position.
Element x y z (fractional)
Bi: 0.0000 0.0000 0.0000  4 I 3.13, 2 Sb 3.30
Bi: 0.2449 0.7741 0.4898  3 Sb 3.00-3.17
I: 0.4324 0.2322 0.8648  2 Bi 3.13
Sb: 0.1577 0.3375 0.3153  4 Bi 3.00-3.30
I: 0.5676 0.7678 0.1352  2 Bi 3.13
Bi: 0.7551 0.2259 0.5102  3 Sb 3.00-3.17
Sb: 0.8423 0.6625 0.6847  4 Bi 3.00-3.30

# 2
Below is crystalline ScBiSbI2 at its relaxed geometry, with properties calculated at the PBE-GGA level.

Calculated values
symmetry: No. 123
raw formation energy: -140 meV per atom
N(E_F): 0.502 states/eV per atom
density: 5.67 g/cm³
relative energy among the computed polymorphs: 0.000 eV per formula unit

a b c (Å): 5.5014 5.5014 6.0906
angles (deg): 90.00 90.00 90.00
Closest atoms and distances in Å follow each position.
Element x y z (fractional)
I: 0.0000 0.5000 0.0000  2 Sc 2.75
I: 0.5000 0.0000 0.0000  2 Sc 2.75
Sb: 0.0000 0.0000 0.5000  2 Sc 3.05
Sc: 0.0000 0.0000 0.0000  4 I 2.75, 2 Sb 3.05
Bi: 0.5000 0.5000 0.5000  4 Sb 3.89, 8 I 4.10

Among the records above, which one has the highest N(E_F)?
ScBiSbI2

Which value of raw formation energy does entry 1 give?
-58 meV per atom

Which of these has the lowest raw formation energy?
ScBiSbI2

Which of these has the highest raw formation energy?
Bi3Sb2I2